No. 1
VASP calculation (PBE) on ReMoSN2 after structural relaxation.

Results
Energy above the lowest structure with this stoichiometry: 390 meV per atom
Formation energy from raw total energies: 1.181 eV per atom

```
data_ReMoSN2
_space_group_name_H-M_alt 'P 4/m m m'
_space_group_IT_number 123
_space_group_name_Hall '-P 4 2'
_cell_length_a 3.8570
_cell_length_b 3.8570
_cell_length_c 5.1353
_cell_angle_alpha 90.00
_cell_angle_beta 90.00
_cell_angle_gamma 90.00
loop_
_atom_site_label
_atom_site_fract_x
_atom_site_fract_y
_atom_site_fract_z
_atom_site_occupancy
Re1 0.0000 0.0000 0.0000 1
Mo1 0.5000 0.5000 0.5000 1
S1 0.5000 0.5000 0.0000 1
N1 0.0000 0.5000 0.5000 1
```



No. 2
VASP calculation (PBE) on Si2MoAu after structural relaxation.

Results
Energy above the lowest structure with this stoichiometry: 533 meV per atom
Formation energy from raw total energies: 0.470 eV per atom

```
data_Si2MoAu
_space_group_name_H-M_alt 'I -4 2 d'
_space_group_IT_number 122
_space_group_name_Hall 'I -4 2bw'
_cell_length_a 6.7628
_cell_length_b 6.7628
_cell_length_c 5.8483
_cell_angle_alpha 90.00
_cell_angle_beta 90.00
_cell_angle_gamma 90.00
loop_
_atom_site_label
_atom_site_fract_x
_atom_site_fract_y
_atom_site_fract_z
_atom_site_occupancy
Si1 0.2437 0.2500 0.1250 1
Mo1 0.0000 0.0000 0.5000 1
Au1 0.0000 0.0000 0.0000 1
```



No. 3
VASP calculation (PBE) on BaSc2Cl after structural relaxation.

Results
Energy above the lowest structure with this stoichiometry: 591 meV per atom
Formation energy from raw total energies: 0.096 eV per atom

```
data_BaSc2Cl
_space_group_name_H-M_alt 'F -4 3 m'
_space_group_IT_number 216
_space_group_name_Hall 'F -4 2 3'
_cell_length_a 7.9132
_cell_length_b 7.9132
_cell_length_c 7.9132
_cell_angle_alpha 90.00
_cell_angle_beta 90.00
_cell_angle_gamma 90.00
loop_
_atom_site_label
_atom_site_fract_x
_atom_site_fract_y
_atom_site_fract_z
_atom_site_occupancy
Ba1 0.0000 0.0000 0.0000 1
Sc1 0.0000 0.0000 0.5000 1
Sc2 0.2500 0.2500 0.7500 1
Cl1 0.2500 0.2500 0.2500 1
```



No. 4
VASP calculation (PBE) on ZrCuReBi after structural relaxation.

Results
Energy above the lowest structure with this stoichiometry: 228 meV per atom
Formation energy: 0.3976 eV per atom

```
data_ZrCuReBi
_space_group_name_H-M_alt 'P 1'
_space_group_IT_number 1
_space_group_name_Hall 'P 1'
_cell_length_a 3.2612
_cell_length_b 4.9658
_cell_length_c 5.2214
_cell_angle_alpha 78.88
_cell_angle_beta 89.84
_cell_angle_gamma 70.87
loop_
_atom_site_label
_atom_site_fract_x
_atom_site_fract_y
_atom_site_fract_z
_atom_site_occupancy
Zr1 0.0000 0.0000 0.0000 1
Cu1 0.2539 0.4974 0.7875 1
Re1 0.7350 0.5284 0.2071 1
Bi1 0.4805 0.0367 0.4921 1
```



No. 5
VASP calculation (PBE) on ScH8PtRh4 after structural relaxation.

```
data_ScH8PtRh4
_space_group_name_H-M_alt 'R 3 m'
_space_group_IT_number 160
_space_group_name_Hall 'R 3 -2"'
_cell_length_a 5.6174
_cell_length_b 5.6174
_cell_length_c 13.5118
_cell_angle_alpha 90.00
_cell_angle_beta 90.00
_cell_angle_gamma 120.00
loop_
_atom_site_label
_atom_site_fract_x
_atom_site_fract_y
_atom_site_fract_z
_atom_site_occupancy
Sc1 0.0000 0.0000 0.0000 1
H1 0.0000 0.0000 0.3762 1
H2 0.0000 0.0000 0.8428 1
H3 0.0662 0.5331 0.8205 1
H4 0.0792 0.5396 0.3689 1
Pt1 0.0000 0.0000 0.6069 1
Rh1 0.0000 0.0000 0.2397 1
Rh2 0.0021 0.5010 0.1144 1
```



No. 6
VASP calculation (PBE) on Mg3ScNi8 after structural relaxation.

Results
Formation energy: -0.3132 eV per atom

```
data_Mg3ScNi8
_space_group_name_H-M_alt 'R 3 m'
_space_group_IT_number 160
_space_group_name_Hall 'R 3 -2"'
_cell_length_a 4.8444
_cell_length_b 4.8444
_cell_length_c 23.6218
_cell_angle_alpha 90.00
_cell_angle_beta 90.00
_cell_angle_gamma 120.00
loop_
_atom_site_label
_atom_site_fract_x
_atom_site_fract_y
_atom_site_fract_z
_atom_site_occupancy
Mg1 0.0000 0.0000 0.0000 1
Mg2 0.0000 0.0000 0.1231 1
Mg3 0.0000 0.0000 0.6277 1
Sc1 0.0000 0.0000 0.5013 1
Ni1 0.0000 0.0000 0.3131 1
Ni2 0.0000 0.0000 0.8130 1
Ni3 0.9998 0.4999 0.0633 1
Ni4 0.1671 0.3342 0.8963 1
```



No. 7
VASP calculation (PBE) on Ca2Pm4Sm3 after structural relaxation.

Results
Formation energy: 0.1778 eV per atom

```
data_Ca2Pm4Sm3
_space_group_name_H-M_alt 'P -1'
_space_group_IT_number 2
_space_group_name_Hall '-P 1'
_cell_length_a 8.7709
_cell_length_b 8.9291
_cell_length_c 8.9871
_cell_angle_alpha 102.04
_cell_angle_beta 94.98
_cell_angle_gamma 105.93
loop_
_atom_site_label
_atom_site_fract_x
_atom_site_fract_y
_atom_site_fract_z
_atom_site_occupancy
Ca1 0.0590 0.1796 0.1652 1
Ca2 0.4330 0.7208 0.7585 1
Pm1 0.0861 0.8817 0.4076 1
Pm2 0.1174 0.4330 0.8800 1
Pm3 0.2820 0.8786 0.1035 1
Pm4 0.2943 0.3067 0.5246 1
Sm1 0.0000 0.5000 0.5000 1
Sm2 0.3163 0.1311 0.8277 1
Sm3 0.3281 0.5867 0.2662 1
Sm4 0.5000 0.0000 0.5000 1
```



No. 8
VASP calculation (PBE) on Pm2Ga3Pd2 after structural relaxation.

Results
Energy above the lowest structure with this stoichiometry: 0 meV per atom
Formation energy: -0.7791 eV per atom

```
data_Pm2Ga3Pd2
_space_group_name_H-M_alt 'C m c m'
_space_group_IT_number 63
_space_group_name_Hall '-C 2c 2'
_cell_length_a 4.1966
_cell_length_b 18.7361
_cell_length_c 7.3120
_cell_angle_alpha 90.00
_cell_angle_beta 90.00
_cell_angle_gamma 90.00
loop_
_atom_site_label
_atom_site_fract_x
_atom_site_fract_y
_atom_site_fract_z
_atom_site_occupancy
Pm1 0.0000 0.0614 0.2500 1
Pm2 0.0000 0.1582 0.7500 1
Ga1 0.0000 0.2247 0.2500 1
Ga2 0.0000 0.4413 0.0762 1
Pd1 0.0000 0.3092 0.5507 1
```



The records above give, respectively, uncorrected energy values of -7.630 -5.769 -4.012 -6.846 -5.034 -5.094 -3.951 -4.917 eV/atom.